[1]
Density functional theory data (GGA-PBE) for an optimized crystal structure of CrHg2As.

abc: 4.909 4.909 4.909
angles: 60.00 60.00 60.00
Element x y z (fractional)
As 0.500 0.500 0.500
Cr 0.750 0.750 0.750
Hg 0.000 0.000 0.000
Hg 0.250 0.250 0.250

Output
Symmetry   F-43m (216)
DFT formation energy   0.4261 eV/atom

***

[2]
Density functional theory data (GGA-PBE) for an optimized crystal structure of Zr3CdF.

abc: 4.588 4.588 4.588
angles: 90.00 90.00 90.00
Element x y z (fractional)
F 0.000 0.000 0.000
Zr 0.000 0.500 0.000
Zr 0.000 0.000 0.500
Zr 0.500 0.000 0.000
Cd 0.500 0.500 0.500

Output
Polymorph energy (0 for the lowest one)   0.000 eV per atom
Symmetry   Pm-3m (221)
Formation energy without anion corrections   -564.8 meV/atom

***

[3]
Density functional theory data (GGA-PBE) for an optimized crystal structure of Tb2GdCd.

abc: 3.610 3.610 9.034
angles: 90.00 90.00 90.00
Element x y z (fractional)
Gd 0.500 0.500 0.500
Tb 0.000 0.000 0.774
Tb 0.000 0.000 0.226
Cd 0.500 0.500 0.000

Output
Polymorph energy (0 for the lowest one)   0.000 eV per atom
Symmetry   P4/mmm (123)
DFT formation energy   -0.1403 eV/atom

***

[4]
Density functional theory data (GGA-PBE) for an optimized crystal structure of Li2NdPPd2.

abc: 4.396 4.396 5.690
angles: 90.00 90.00 90.00
Element x y z (fractional)
Li 0.500 0.000 0.000
Li 0.000 0.500 0.000
Nd 0.000 0.000 0.500
P 0.000 0.000 0.000
Pd 0.500 0.500 0.735
Pd 0.500 0.500 0.265

Output
Symmetry   P4/mmm (123)
DFT formation energy   -0.4769 eV/atom

***

[5]
Density functional theory data (GGA-PBE) for an optimized crystal structure of KPuAuO5.

abc: 6.122 6.122 8.115
angles: 99.73 99.73 116.60
Element x y z (fractional)
K 0.314 0.686 0.250
K 0.686 0.314 0.750
Pu 0.000 0.000 0.500
Pu 0.000 0.000 0.000
Au 0.671 0.329 0.250
Au 0.329 0.671 0.750
O 0.055 0.945 0.250
O 0.945 0.055 0.750
O 0.850 0.217 0.073
O 0.150 0.783 0.927
O 0.783 0.150 0.427
O 0.217 0.850 0.573
O 0.701 0.652 0.425
O 0.299 0.348 0.575
O 0.348 0.299 0.075
O 0.652 0.701 0.925

Output
Symmetry   C2/c (15)
Formation energy without anion corrections   -1555.7 meV/atom

***

[6]
Density functional theory data (GGA-PBE) for an optimized crystal structure of TlCr2Ge2.

abc: 4.404 4.404 5.856
angles: 67.91 67.91 90.00
Element x y z (fractional)
Cr 0.750 0.250 0.500
Cr 0.250 0.750 0.500
Tl 0.000 0.000 0.000
Ge 0.372 0.372 0.257
Ge 0.628 0.628 0.743

Output
Polymorph energy (0 for the lowest one)   0.000 eV per atom
Symmetry   I4/mmm (139)
DFT formation energy   0.3177 eV/atom

***

[7]
Density functional theory data (GGA-PBE) for an optimized crystal structure of BaAlBi2I.

abc: 6.485 6.485 6.732
angles: 90.00 90.00 90.00
Element x y z (fractional)
I 0.500 0.500 0.500
Al 0.000 0.000 0.500
Bi 0.000 0.500 0.000
Bi 0.500 0.000 0.000
Ba 0.000 0.000 0.000

Output
Symmetry   P4/mmm (123)
Formation energy without anion corrections   857.4 meV/atom

***

[8]
Density functional theory data (GGA-PBE) for an optimized crystal structure of ZnCdSi.

abc: 8.276 8.023 2.849
angles: 85.00 74.94 20.06
Element x y z (fractional)
Cd 0.006 0.006 0.994
Si 0.320 0.320 0.680
Zn 0.674 0.674 0.326

Output
Symmetry   Fmm2 (42)
Formation energy without anion corrections   276.3 meV/atom